Computed, not measured: crystalline LiLa2IrPb at its relaxed geometry at the PBE-GGA level of DFT.

Output
- Volume: 187.1 Å³ per cell
- Theoretical density: 6.1 g/cm3
- Formation energy: 2.8 eV per formula unit

Cell: 6.103 6.103 5.023 Å, 90.00 90.00 90.00°
Atoms (fractional coordinates):
Li1 0.000 0.000 0.000
La1 0.000 0.500 0.500
La2 0.500 0.000 0.500
Ir1 0.500 0.500 0.000
Pb1 0.500 0.500 0.500

---

Computed, not measured: crystalline AcPm2Ho at its relaxed geometry at the PBE-GGA level of DFT.

Output
- Volume: 145.2 Å³ per cell
- Theoretical density: 7.8 g/cm3
- Formation energy: 0.7 eV per formula unit

Cell: 5.899 5.899 5.899 Å, 60.00 60.00 60.00°
Atoms (fractional coordinates):
Ac1 0.000 0.000 0.000
Pm1 0.250 0.250 0.250
Pm2 0.750 0.750 0.750
Ho1 0.500 0.500 0.500

---

Computed, not measured: crystalline Li2Tl3CuF9 at its relaxed geometry at the PBE-GGA level of DFT.

Output
- Formation energy (no corrections): -1.956 eV/atom
- Volume: 201.4 Å³ per cell
- Theoretical density: 7.1 g/cm3

Cell: 5.735 5.735 7.070 Å, 90.00 90.00 120.00°
Atoms (fractional coordinates):
Li1 0.333 0.667 0.164
Li2 0.667 0.333 0.836
Tl1 0.000 0.000 0.000
Tl2 0.333 0.667 0.707
Tl3 0.667 0.333 0.293
Cu1 0.000 0.000 0.500
F1 0.000 0.500 0.000
F2 0.161 0.323 0.341
F3 0.161 0.839 0.341
F4 0.323 0.161 0.659
F5 0.500 0.000 0.000
F6 0.500 0.500 0.000
F7 0.677 0.839 0.341
F8 0.839 0.161 0.659
F9 0.839 0.677 0.659